1.
A plane-wave DFT calculation with PBE was carried out for a relaxed structure of TiPPtO2.

Output
- total DFT energy (no corrections) (eV/atom) = -6.893
- excess energy over the best structure of this formula in the dataset (eV per formula unit) = 0.00
- Fermi-level density of states (states/eV/cell) = 5.14

Geometry as CIF:
```
data_TiPPtO2
_chemical_formula_sum 'Ti1 P1 Pt1 O2'
_cell_length_a 3.645
_cell_length_b 3.645
_cell_length_c 6.041
_cell_angle_alpha 90.00
_cell_angle_beta 90.00
_cell_angle_gamma 90.00
_space_group_name_H-M_alt 'P 4/m m m'
_space_group_IT_number 123
_space_group_name_Hall '-P 4 2'
loop_
_atom_site_label
_atom_site_type_symbol
_atom_site_fract_x
_atom_site_fract_y
_atom_site_fract_z
_atom_site_occupancy
Ti1 Ti 0.000 0.000 0.000 1
P1 P 0.000 0.000 0.500 1
Pt1 Pt 0.500 0.500 0.500 1
O1 O 0.000 0.500 0.000 1
```



2.
A plane-wave DFT calculation with PBE was carried out for a relaxed structure of TiP2PtO.

Output
- total DFT energy (no corrections) (eV/atom) = -5.660
- excess energy over the best structure of this formula in the dataset (eV per formula unit) = 2.79
- Fermi-level density of states (states/eV/cell) = 7.48

Geometry as CIF:
```
data_TiP2PtO
_chemical_formula_sum 'Ti1 P2 Pt1 O1'
_cell_length_a 4.765
_cell_length_b 4.765
_cell_length_c 3.785
_cell_angle_alpha 90.00
_cell_angle_beta 90.00
_cell_angle_gamma 90.00
_space_group_name_H-M_alt 'P 4/m m m'
_space_group_IT_number 123
_space_group_name_Hall '-P 4 2'
loop_
_atom_site_label
_atom_site_type_symbol
_atom_site_fract_x
_atom_site_fract_y
_atom_site_fract_z
_atom_site_occupancy
Ti1 Ti 0.000 0.000 0.000 1
P1 P 0.000 0.500 0.500 1
Pt1 Pt 0.500 0.500 0.500 1
O1 O 0.500 0.500 0.000 1
```



3.
A plane-wave DFT calculation with PBE was carried out for a relaxed structure of TiPPt2O.

Output
- total DFT energy (no corrections) (eV/atom) = -5.848
- Fermi-level density of states (states/eV/cell) = 5.37

Geometry as CIF:
```
data_TiPPt2O
_chemical_formula_sum 'Ti1 P1 Pt2 O1'
_cell_length_a 4.175
_cell_length_b 4.175
_cell_length_c 4.327
_cell_angle_alpha 90.00
_cell_angle_beta 90.00
_cell_angle_gamma 90.00
_space_group_name_H-M_alt 'P 4/m m m'
_space_group_IT_number 123
_space_group_name_Hall '-P 4 2'
loop_
_atom_site_label
_atom_site_type_symbol
_atom_site_fract_x
_atom_site_fract_y
_atom_site_fract_z
_atom_site_occupancy
Ti1 Ti 0.000 0.000 0.000 1
P1 P 0.500 0.500 0.000 1
Pt1 Pt 0.000 0.500 0.500 1
O1 O 0.500 0.500 0.500 1
```



Result set for E_form (uncorrected): -1.04; 0.28; 0.22 eV/atom, one per record in the order listed.